[1]
A plane-wave DFT calculation with PBE with a Hubbard U was carried out for a relaxed structure of AcMn3In4O12.

Cell lengths 6.9145, 6.9145, 6.9145 Å; angles 109.47, 109.47, 109.47 degrees
Closest atoms and distances in Å follow each position.
Sites, in units of the cell vectors:
Ac 0.0000 0.0000 0.0000  12 O 2.84
Mn 0.0000 0.5000 0.5000  4 O 1.96
Mn 0.5000 0.0000 0.5000  4 O 1.96
Mn 0.5000 0.5000 0.0000  4 O 1.96
In 0.0000 0.0000 0.5000  6 O 2.18
In 0.0000 0.5000 0.0000  6 O 2.18
In 0.5000 0.0000 0.0000  6 O 2.18
In 0.5000 0.5000 0.5000  6 O 2.18
O 0.1534 0.3165 0.8369  1 Mn 1.96, 2 In 2.18
O 0.1631 0.4795 0.3165  1 Mn 1.96, 2 In 2.18
O 0.1631 0.8466 0.6835  1 Mn 1.96, 2 In 2.18
O 0.3165 0.1631 0.4795  1 Mn 1.96, 2 In 2.18
O 0.3165 0.8369 0.1534  1 Mn 1.96, 2 In 2.18
O 0.4795 0.3165 0.1631  1 Mn 1.96, 2 In 2.18
O 0.5205 0.6835 0.8369  1 Mn 1.96, 2 In 2.18
O 0.6835 0.1631 0.8466  1 Mn 1.96, 2 In 2.18
O 0.6835 0.8369 0.5205  1 Mn 1.96, 2 In 2.18
O 0.8369 0.1534 0.3165  1 Mn 1.96, 2 In 2.18
O 0.8369 0.5205 0.6835  1 Mn 1.96, 2 In 2.18
O 0.8466 0.6835 0.1631  1 Mn 1.96, 2 In 2.18

Calculated values
Fermi-level density of states ... 0.0 states/eV per cell
VASP energy ... -0.2428 Ha/atom
Spin magnetization ... 11.9 μB/f.u.
Density ... 6.8 g/cm³

---

[2]
A plane-wave DFT calculation with PBE with a Hubbard U was carried out for a relaxed structure of Ac2MnInO6.

Cell lengths 5.7009, 5.8216, 5.8259 Å; angles 117.87, 119.25, 90.00 degrees
Closest atoms and distances in Å follow each position.
Sites, in units of the cell vectors:
Ac 0.2446 0.2319 0.4895  5 O 2.46-2.62
Ac 0.7554 0.7681 0.5105  5 O 2.46-2.62
Mn 0.5000 0.0000 0.0000  4 O 1.97
In 0.0000 0.5000 0.0000  6 O 2.14-2.21
O 0.2060 0.1798 0.8940  1 Mn 1.97
O 0.2431 0.6537 0.4879  1 In 2.14, 1 Mn 2.28
O 0.3139 0.8196 0.1072  1 Mn 1.97
O 0.6861 0.1804 0.8928  1 Mn 1.97
O 0.7569 0.3463 0.5121  1 In 2.14, 1 Mn 2.28
O 0.7940 0.8202 0.1060  1 Mn 1.97

Calculated values
VASP energy ... -0.2688 Ha/atom
Spin magnetization ... 4.0 μB/f.u.
Density ... 8.4 g/cm³